(1)
VASP calculation (PBE-GGA) on a relaxed structure of Sc3CdN.

Unit cell a=9.2431 b=3.2977 c=6.4738 alpha=89.99 beta=70.06 gamma=90.00
Positions (direct):
N1 0.5043 0.8022 0.2466
N2 0.7718 0.3022 0.3563
Cd1 0.2671 0.8024 0.8635
Cd2 0.0091 0.3020 0.7395
Sc1 0.7863 0.8021 0.5824
Sc2 0.5166 0.3021 0.4769
Sc3 0.4899 0.3023 0.0206
Sc4 0.7595 0.8022 0.1260
Sc5 0.2524 0.8022 0.3881
Sc6 0.0237 0.3022 0.2148

## Properties
Formation energy (no corrections) ... -0.8571 eV per atom

=====

(2)
VASP calculation (PBE-GGA) on a relaxed structure of Li3H24RuCl6O12.

Unit cell a=9.9511 b=9.9511 c=12.7371 alpha=67.01 beta=67.01 gamma=60.00
Positions (direct):
H1 0.0005 0.8098 0.6154
H2 0.4943 0.1122 0.3797
H3 0.3423 0.7902 0.1199
H4 0.8423 0.2476 0.6199
H5 0.2487 0.9383 0.7082
H6 0.9943 0.5138 0.8797
H7 0.7524 0.7098 0.3801
H8 0.0617 0.8952 0.2918
H9 0.4862 0.3878 0.1203
H10 0.6048 0.4383 0.2082
H11 0.2513 0.3952 0.7918
H12 0.2476 0.2902 0.6199
H13 0.9995 0.1902 0.3846
H14 0.6577 0.2098 0.8801
H15 0.9862 0.5057 0.6203
H16 0.1048 0.2487 0.7082
H17 0.7902 0.7476 0.1199
H18 0.9257 0.6902 0.8846
H19 0.0138 0.4943 0.3797
H20 0.8098 0.5743 0.6154
H21 0.3952 0.5617 0.7918
H22 0.8878 0.9862 0.6203
H23 0.4995 0.9257 0.8846
H24 0.5005 0.0743 0.1154
H25 0.4257 0.9995 0.3846
H26 0.6902 0.4995 0.8846
H27 0.6122 0.9943 0.8797
H28 0.2902 0.8423 0.6199
H29 0.3098 0.5005 0.1154
H30 0.2098 0.2524 0.8801
H31 0.9383 0.1048 0.7082
H32 0.5138 0.6122 0.8797
H33 0.1122 0.0138 0.3797
H34 0.0057 0.4862 0.1203
H35 0.4383 0.7487 0.2082
H36 0.7098 0.1577 0.3801
H37 0.7513 0.0617 0.2918
H38 0.1902 0.4257 0.3846
H39 0.8952 0.7513 0.2918
H40 0.7476 0.3423 0.1199
H41 0.5057 0.8878 0.6203
H42 0.1577 0.7524 0.3801
H43 0.7487 0.6048 0.2082
H44 0.5743 0.0005 0.6154
H45 0.2524 0.6577 0.8801
H46 0.3878 0.0057 0.1203
H47 0.0743 0.3098 0.1154
H48 0.5617 0.2513 0.7918
O1 0.5654 0.2021 0.8747
O2 0.3578 0.5654 0.8747
O3 0.2979 0.9346 0.6253
O4 0.3878 0.1044 0.1221
O5 0.6044 0.8878 0.6221
O6 0.8857 0.6044 0.6221
O7 0.1122 0.1143 0.3779
O8 0.8956 0.6143 0.8779
O9 0.0654 0.8578 0.3747
O10 0.7021 0.0654 0.3747
O11 0.1422 0.2979 0.6253
O12 0.9346 0.1422 0.6253
O13 0.8578 0.7021 0.3747
O14 0.3857 0.3878 0.1221
O15 0.1143 0.3956 0.3779
O16 0.3956 0.1122 0.3779
O17 0.2021 0.3578 0.8747
O18 0.4346 0.7979 0.1253
O19 0.6143 0.6122 0.8779
O20 0.1044 0.3857 0.1221
O21 0.6122 0.8956 0.8779
O22 0.8878 0.8857 0.6221
O23 0.7979 0.6422 0.1253
O24 0.6422 0.4346 0.1253
Cl1 0.6372 0.4826 0.6249
Cl2 0.3628 0.5174 0.3751
Cl3 0.7553 0.9826 0.1249
Cl4 0.8628 0.2447 0.8751
Cl5 0.1372 0.7553 0.1249
Cl6 0.7447 0.3628 0.3751
Cl7 0.0174 0.8628 0.8751
Cl8 0.9826 0.1372 0.1249
Cl9 0.2553 0.6372 0.6249
Cl10 0.2447 0.0174 0.8751
Cl11 0.4826 0.2553 0.6249
Cl12 0.5174 0.7447 0.3751
Li1 0.2500 0.2500 0.2500
Li2 0.3360 0.3360 0.9920
Li3 0.1640 0.1640 0.5080
Li4 0.8360 0.8360 0.4920
Li5 0.6640 0.6640 0.0080
Li6 0.7500 0.7500 0.7500
Ru1 0.5000 0.5000 0.5000
Ru2 0.0000 0.0000 0.0000

## Properties
Uncorrected energy ... -216.7 eV/f.u.

=====

(3)
VASP calculation (PBE-GGA) on a relaxed structure of NdTmAl4.

Unit cell a=5.6054 b=5.6054 c=5.6054 alpha=60.00 beta=60.00 gamma=60.00
Positions (direct):
Nd1 0.0000 0.0000 0.0000
Al1 0.6248 0.6248 0.1255
Al2 0.6248 0.1255 0.6248
Al3 0.1255 0.6248 0.6248
Al4 0.6248 0.6248 0.6248
Tm1 0.2500 0.2500 0.2500

## Properties
Calculated formation energy ... -0.4852 eV per atom

=====

Listing size of the total moment for the structures above in their given order: 0.00, 0.02, 0.00 μB/atom.